Compound: ScFe3O
Source: Alexandria via LeMat-Bulk
Functional: PBE+U
Structure: optimized geometry

a b c (Å): 4.284 4.284 4.284
angles (deg): 90.00 90.00 90.00
Last column: magnetic moment on the atom in μB.
Fractional positions:
Fe 0.500 0.000 0.000  3.48
Fe 0.000 0.500 0.000  3.51
Fe 0.000 0.000 0.500  3.48
Sc 0.500 0.500 0.500  -0.77
O 0.000 0.000 0.000  0.08

Values from the calculation:
- SG = Pm-3m, No. 221
- DFT total energy (eV/atom) = -5.60
- crystal system = cubic